TbPm2Pb4 | Alexandria via LeMat-Bulk | PBE | relaxed; ΔH_f (0 K) = -0.33 eV/atom; theoretical density = 9.93 Mg/m³; volume = 428 Å³/cell; space-group type = P2_1/m, No. 11
1.0
6.282 0.000 0.000
0.000 6.520 0.000
-2.742 0.000 10.438
Tb Pm Pb
2 4 8
Cartesian
0.654 1.630 2.058 Tb
2.886 4.890 8.380 Tb
0.832 4.890 4.385 Pm
2.317 4.890 0.180 Pm
1.222 1.630 10.257 Pm
2.708 1.630 6.053 Pm
-2.049 1.630 9.310 Pb
-0.546 1.630 4.930 Pb
0.155 3.324 7.592 Pb
0.155 6.457 7.592 Pb
3.384 0.063 2.846 Pb
3.384 3.197 2.846 Pb
4.086 4.890 5.508 Pb
5.588 4.890 1.127 Pb